NpFe2HO6 after structural relaxation. Source: the Alexandria database, functional PBE with a Hubbard U.

Lattice parameters (Å, degrees): 4.452 5.279 10.027 90.00 115.27 90.00
Space group P2_1/c (No. 14)
Asymmetric unit:
Np1 0.000 0.000 0.000 [2 per cell]
Fe1 0.175 0.003 0.675 [4 per cell]
H1 0.500 0.000 0.500 [2 per cell]
O1 0.067 0.663 0.336 [4 per cell]
O2 0.269 0.134 0.504 [4 per cell]
O3 0.385 0.664 0.657 [4 per cell]

* size of the total moment: 7.98 Bohr magnetons per cell
* crystal system: monoclinic
* E: -72.33 eV per formula unit